(1)
# ScTlTc2

A relaxed ScTlTc2 crystal (PBE-GGA, Alexandria via LeMat-Bulk).

energy above the most stable polymorph in this dataset: 0.313 eV/atom
DOS(E_F): 3.4 states/eV/cell
formation enthalpy at 0 K: 292 meV per atom
total magnetization: 0.00 μB per formula unit

Unit cell a=3.090 b=4.192 c=5.910 alpha=90.00 beta=90.00 gamma=90.00
Positions (direct):
Sc (0.000, 0.000, 0.000)
Tl (0.000, 0.000, 0.500)
Tc (0.500, 0.500, 0.194)
Tc (0.500, 0.500, 0.806)

(2)
# ScTl2Tc

A relaxed ScTl2Tc crystal (PBE-GGA, Alexandria via LeMat-Bulk).

energy above the most stable polymorph in this dataset: 0.038 eV/atom
DOS(E_F): 1.5 states/eV/cell
formation enthalpy at 0 K: 218 meV per atom
total magnetization: 0.00 μB per formula unit

Unit cell a=5.558 b=5.558 c=5.558 alpha=141.24 beta=128.30 gamma=66.45
Positions (direct):
Sc (0.000, 0.000, 0.000)
Tl (0.261, 0.761, 0.500)
Tl (0.739, 0.239, 0.500)
Tc (0.500, 0.500, 0.000)

(3)
# ScTlTc2

A relaxed ScTlTc2 crystal (PBE-GGA, Alexandria via LeMat-Bulk).

energy above the most stable polymorph in this dataset: 0.166 eV/atom
DOS(E_F): 2.7 states/eV/cell
formation enthalpy at 0 K: 145 meV per atom
total magnetization: 0.00 μB per formula unit

Unit cell a=3.075 b=4.073 c=5.825 alpha=90.00 beta=95.55 gamma=90.00
Positions (direct):
Sc (0.000, 0.000, 0.000)
Tl (0.444, 0.500, 0.718)
Tc (0.497, 0.500, 0.240)
Tc (0.896, 0.000, 0.426)

(4)
# ScTlV2Tc

A relaxed ScTlV2Tc crystal (PBE-GGA, Alexandria via LeMat-Bulk).

DOS(E_F): 5.5 states/eV/cell
formation enthalpy at 0 K: 698 meV per atom
total magnetization: 0.01 μB per formula unit

Unit cell a=4.562 b=4.562 c=5.077 alpha=90.00 beta=90.00 gamma=90.00
Positions (direct):
Sc (0.000, 0.000, 0.000)
Tl (0.500, 0.500, 0.000)
V (0.000, 0.500, 0.500)
V (0.500, 0.000, 0.500)
Tc (0.000, 0.000, 0.500)

(5)
# ScTlTc2W

A relaxed ScTlTc2W crystal (PBE-GGA, Alexandria via LeMat-Bulk).

DOS(E_F): 9.6 states/eV/cell
formation enthalpy at 0 K: 2501 meV per atom
total magnetization: 0.01 μB per formula unit

Unit cell a=4.875 b=4.875 c=4.890 alpha=90.00 beta=90.00 gamma=90.00
Positions (direct):
Sc (0.000, 0.000, 0.000)
Tl (0.000, 0.000, 0.500)
Tc (0.000, 0.500, 0.500)
Tc (0.500, 0.000, 0.500)
W (0.500, 0.500, 0.000)

(6)
# TmSc3Tc

A relaxed TmSc3Tc crystal (PBE-GGA, Alexandria via LeMat-Bulk).

energy above the most stable polymorph in this dataset: 0.028 eV/atom
DOS(E_F): 11.8 states/eV/cell
formation enthalpy at 0 K: -31 meV per atom
total magnetization: 0.30 μB per formula unit

Unit cell a=6.868 b=6.868 c=7.351 alpha=122.13 beta=122.13 gamma=72.13
Positions (direct):
Tm (0.054, 0.054, 0.275)
Tm (0.946, 0.946, 0.725)
Sc (0.072, 0.461, 0.815)
Sc (0.442, 0.442, 0.640)
Sc (0.461, 0.072, 0.815)
Sc (0.539, 0.928, 0.185)
Sc (0.558, 0.558, 0.360)
Sc (0.928, 0.539, 0.185)
Tc (0.256, 0.256, 0.129)
Tc (0.744, 0.744, 0.871)

(7)
# Tm2Sc6Tc

A relaxed Tm2Sc6Tc crystal (PBE-GGA, Alexandria via LeMat-Bulk).

DOS(E_F): 9.6 states/eV/cell
formation enthalpy at 0 K: -21 meV per atom
total magnetization: 0.00 μB per formula unit

Unit cell a=3.422 b=8.532 c=8.532 alpha=119.68 beta=90.00 gamma=90.00
Positions (direct):
Tm (0.000, 0.170, 0.830)
Tm (0.000, 0.830, 0.170)
Sc (0.000, 0.248, 0.494)
Sc (0.000, 0.494, 0.248)
Sc (0.000, 0.761, 0.761)
Sc (0.500, 0.130, 0.130)
Sc (0.500, 0.503, 0.851)
Sc (0.500, 0.851, 0.503)
Tc (0.500, 0.507, 0.507)

(8)
# Tm12Sc5Tc3

A relaxed Tm12Sc5Tc3 crystal (PBE-GGA, Alexandria via LeMat-Bulk).

DOS(E_F): 115.4 states/eV/cell
formation enthalpy at 0 K: 914 meV per atom
total magnetization: 1.06 μB per formula unit

Unit cell a=14.817 b=14.817 c=14.817 alpha=109.47 beta=109.47 gamma=109.47
Positions (direct):
Tm (0.049, 0.629, 0.388)
Tm (0.049, 0.920, 0.661)
Tm (0.080, 0.241, 0.129)
Tm (0.080, 0.339, 0.951)
Tm (0.112, 0.741, 0.661)
Tm (0.112, 0.871, 0.451)
Tm (0.129, 0.080, 0.241)
Tm (0.129, 0.549, 0.888)
Tm (0.161, 0.241, 0.612)
Tm (0.161, 0.420, 0.549)
Tm (0.241, 0.129, 0.080)
Tm (0.241, 0.612, 0.161)
Tm (0.259, 0.339, 0.888)
Tm (0.259, 0.420, 0.371)
Tm (0.339, 0.888, 0.259)
Tm (0.339, 0.951, 0.080)
Tm (0.371, 0.259, 0.420)
Tm (0.371, 0.612, 0.951)
Tm (0.388, 0.049, 0.629)
Tm (0.388, 0.839, 0.759)
Tm (0.420, 0.371, 0.259)
Tm (0.420, 0.549, 0.161)
Tm (0.451, 0.112, 0.871)
Tm (0.451, 0.839, 0.580)
Tm (0.549, 0.161, 0.420)
Tm (0.549, 0.888, 0.129)
Tm (0.580, 0.451, 0.839)
Tm (0.580, 0.629, 0.741)
Tm (0.612, 0.161, 0.241)
Tm (0.612, 0.951, 0.371)
Tm (0.629, 0.388, 0.049)
Tm (0.629, 0.741, 0.580)
Tm (0.661, 0.049, 0.920)
Tm (0.661, 0.112, 0.741)
Tm (0.741, 0.580, 0.629)
Tm (0.741, 0.661, 0.112)
Tm (0.759, 0.388, 0.839)
Tm (0.759, 0.871, 0.920)
Tm (0.839, 0.580, 0.451)
Tm (0.839, 0.759, 0.388)
Tm (0.871, 0.451, 0.112)
Tm (0.871, 0.920, 0.759)
Tm (0.888, 0.129, 0.549)
Tm (0.888, 0.259, 0.339)
Tm (0.920, 0.661, 0.049)
Tm (0.920, 0.759, 0.871)
Tm (0.951, 0.080, 0.339)
Tm (0.951, 0.371, 0.612)
Sc (0.000, 0.000, 0.000)
Sc (0.000, 0.000, 0.500)
Sc (0.000, 0.500, 0.000)
Sc (0.000, 0.500, 0.500)
Sc (0.125, 0.750, 0.875)
Sc (0.125, 0.875, 0.250)
Sc (0.250, 0.125, 0.875)
Sc (0.250, 0.625, 0.375)
Sc (0.375, 0.250, 0.625)
Sc (0.375, 0.625, 0.750)
Sc (0.500, 0.000, 0.000)
Sc (0.500, 0.000, 0.500)
Sc (0.500, 0.500, 0.000)
Sc (0.500, 0.500, 0.500)
Sc (0.625, 0.375, 0.250)
Sc (0.625, 0.750, 0.375)
Sc (0.750, 0.375, 0.625)
Sc (0.750, 0.875, 0.125)
Sc (0.875, 0.125, 0.750)
Sc (0.875, 0.250, 0.125)
Tc (0.125, 0.250, 0.375)
Tc (0.125, 0.375, 0.750)
Tc (0.250, 0.375, 0.125)
Tc (0.250, 0.875, 0.625)
Tc (0.375, 0.125, 0.250)
Tc (0.375, 0.750, 0.125)
Tc (0.625, 0.250, 0.875)
Tc (0.625, 0.875, 0.750)
Tc (0.750, 0.125, 0.375)
Tc (0.750, 0.625, 0.875)
Tc (0.875, 0.625, 0.250)
Tc (0.875, 0.750, 0.625)

(9)
# Tm3Sc2Tc2

A relaxed Tm3Sc2Tc2 crystal (PBE-GGA, Alexandria via LeMat-Bulk).

DOS(E_F): 5.2 states/eV/cell
formation enthalpy at 0 K: -121 meV per atom
total magnetization: 0.00 μB per formula unit

Unit cell a=6.373 b=6.373 c=8.114 alpha=112.42 beta=112.42 gamma=32.57
Positions (direct):
Tm (0.000, 0.000, 0.000)
Tm (0.123, 0.123, 0.442)
Tm (0.877, 0.877, 0.558)
Sc (0.336, 0.336, 0.167)
Sc (0.664, 0.664, 0.833)
Tc (0.311, 0.311, 0.788)
Tc (0.689, 0.689, 0.212)

(10)
# Tm3ScTc

A relaxed Tm3ScTc crystal (PBE-GGA, Alexandria via LeMat-Bulk).

energy above the most stable polymorph in this dataset: 0.011 eV/atom
DOS(E_F): 10.6 states/eV/cell
formation enthalpy at 0 K: -36 meV per atom
total magnetization: 0.00 μB per formula unit

Unit cell a=7.076 b=7.076 c=7.610 alpha=122.53 beta=122.53 gamma=74.49
Positions (direct):
Tm (0.055, 0.055, 0.264)
Tm (0.062, 0.452, 0.799)
Tm (0.452, 0.062, 0.799)
Tm (0.548, 0.938, 0.201)
Tm (0.938, 0.548, 0.201)
Tm (0.945, 0.945, 0.736)
Sc (0.445, 0.445, 0.639)
Sc (0.555, 0.555, 0.361)
Tc (0.256, 0.256, 0.133)
Tc (0.744, 0.744, 0.867)

(11)
# Tm2Sc8Tc

A relaxed Tm2Sc8Tc crystal (PBE-GGA, Alexandria via LeMat-Bulk).

DOS(E_F): 20.2 states/eV/cell
formation enthalpy at 0 K: -21 meV per atom
total magnetization: 0.00 μB per formula unit

Unit cell a=8.870 b=8.870 c=6.246 alpha=94.29 beta=94.29 gamma=33.02
Positions (direct):
Tm (0.223, 0.223, 0.163)
Tm (0.777, 0.777, 0.837)
Sc (0.030, 0.030, 0.268)
Sc (0.159, 0.159, 0.660)
Sc (0.356, 0.356, 0.610)
Sc (0.417, 0.417, 0.111)
Sc (0.583, 0.583, 0.889)
Sc (0.644, 0.644, 0.390)
Sc (0.841, 0.841, 0.340)
Sc (0.970, 0.970, 0.732)
Tc (0.500, 0.500, 0.500)

(12)
# Tm2Sc7Tc2

A relaxed Tm2Sc7Tc2 crystal (PBE-GGA, Alexandria via LeMat-Bulk).

DOS(E_F): 10.7 states/eV/cell
formation enthalpy at 0 K: -12 meV per atom
total magnetization: 0.00 μB per formula unit

Unit cell a=7.870 b=7.870 c=4.655 alpha=107.12 beta=107.12 gamma=73.33
Positions (direct):
Tm (0.135, 0.135, 0.135)
Tm (0.865, 0.865, 0.865)
Sc (0.097, 0.626, 0.361)
Sc (0.346, 0.346, 0.846)
Sc (0.374, 0.903, 0.639)
Sc (0.500, 0.500, 0.500)
Sc (0.626, 0.097, 0.361)
Sc (0.654, 0.654, 0.154)
Sc (0.903, 0.374, 0.639)
Tc (0.278, 0.722, 0.000)
Tc (0.722, 0.278, 0.000)